1.
Material: Dy4Ho5Tm2
Method: DFT, PBE-GGA
State: optimized geometry

abc: 3.4667 8.9507 22.9136
angles: 90.00 90.00 90.00
Last column: nearest neighbours and their distance in Å.
Space group Immm (No. 71)
Inequivalent atoms, fractional coordinates:
Dy: 0.0000 0.0000 0.0970 (multiplicity 4)  1 Tm 3.07, 4 Dy 3.31, 4 Ho 3.39
Dy: 0.0000 0.3068 0.5000 (multiplicity 4)  4 Ho 3.25-3.47, 7 Dy 3.31-3.47
Ho: 0.0000 0.1988 0.3544 (multiplicity 8)  1 Tm 3.34, 3 Dy 3.39-3.47, 3 Ho 3.47-3.56
Ho: 0.0000 0.5000 0.0000 (multiplicity 2)  4 Dy 3.25, 2 Ho 3.47
Tm: 0.0000 0.0000 0.2308 (multiplicity 4)  1 Dy 3.07, 2 Ho 3.34

Its formation energy is 0.25 eV per atom. The value obtained for the total moment is 0.002 μB/cell. Its crystal system is orthorhombic.

2.
Material: Dy7Ho3Tm
Method: DFT, PBE-GGA
State: optimized geometry

abc: 6.9233 5.4841 9.8280
angles: 90.00 110.43 90.00
Last column: nearest neighbours and their distance in Å.
Space group P2/m (No. 10)
Inequivalent atoms, fractional coordinates:
Dy: 0.0000 0.0000 0.0000 (multiplicity 1)  4 Ho 3.36
Dy: 0.1459 0.5000 0.2912 (multiplicity 2)  3 Dy 3.21-3.53, 2 Ho 3.31
Dy: 0.3211 0.5000 0.6402 (multiplicity 2)  5 Dy 3.21-3.53, 2 Tm 3.48, 2 Ho 3.50
Dy: 0.4162 0.0000 0.8299 (multiplicity 2)  3 Dy 3.13-3.25, 1 Tm 3.49, 5 Ho 3.51
Ho: 0.0000 0.0000 0.5000 (multiplicity 1)  2 Tm 3.46, 10 Dy 3.50-3.77
Ho: 0.2796 0.5000 0.9993 (multiplicity 2)  1 Ho 3.05, 4 Dy 3.31-3.36
Tm: 0.5000 0.0000 0.5000 (multiplicity 1)  2 Ho 3.46, 10 Dy 3.48-3.77

Its formation energy is 0.15 eV per atom. The value obtained for the total moment is 0.000 μB/cell. Its crystal system is monoclinic.